Record 1
## MnZnMo2 (PBE-GGA)

Data for MnZnMo2 after structural relaxation.

```
8
Lattice="6.9371 0.0000 0.0000 0.0000 6.9371 0.0000 3.4685 3.4685 2.5737" Properties=species:S:1:pos:R:3 pbc="T T T"
Mo 4.8805 1.7343 0.6434
Mo 2.0566 5.2028 0.6434
Mo 5.2028 5.5251 1.9303
Mo 8.6714 8.3490 1.9303
Mn 3.4685 3.4685 0.0000
Mn 3.4685 6.9371 1.2869
Zn 0.0000 0.0000 0.0000
Zn 6.9371 3.4685 1.2869
```

Calculated values
Calculated total energy (eV/atom): -7.44
Theoretical density (g cm⁻³): 8.4
DOS(E_F) (states/eV/atom): 1.009

Record 2
## TbRe4Se8 (PBE-GGA)

Data for TbRe4Se8 after structural relaxation.

```
13
Lattice="0.8870 7.2879 -1.9545 -1.5221 5.6171 4.8838 5.5422 4.2496 2.9908" Properties=species:S:1:pos:R:3 pbc="T T T"
Tb 2.4536 8.5772 2.9600
Re 0.0000 0.0000 0.0000
Re -0.3175 6.4525 1.4647
Re 3.2146 5.7687 0.5181
Re 2.0101 4.9333 3.9373
Se 3.6386 12.7199 4.3897
Se 1.2686 4.4346 1.5304
Se 4.0067 6.2470 2.9379
Se 3.2887 9.3487 5.5193
Se 0.9005 10.9075 2.9822
Se 4.5247 10.2059 2.0110
Se 0.3825 6.9486 3.9090
Se 1.6184 7.8058 0.4008
```

Calculated values
Calculated total energy (eV/atom): -6.48
Theoretical density (g cm⁻³): 8.5
DOS(E_F) (states/eV/atom): 0.599
Uncorrected formation energy (eV per atom): -0.144

Record 3
## Cd2MoW (PBE-GGA)

Data for Cd2MoW after structural relaxation.

```
4
Lattice="10.0271 -0.0134 -0.0078 9.6130 2.8520 -0.0078 9.6130 1.3894 2.4907" Properties=species:S:1:pos:R:3 pbc="T T T"
Cd 29.2418 4.2264 2.4741
Cd 14.6377 2.1156 1.2385
Mo 7.3133 1.0570 0.6188
W 21.9398 3.1710 1.8563
```

Calculated values
Calculated total energy (eV/atom): -5.77
Theoretical density (g cm⁻³): 11.7
DOS(E_F) (states/eV/atom): 0.859
Offset from the most stable computed form (meV/atom): 346

Record 4
## La6SbTe2As3 (PBE-GGA)

Data for La6SbTe2As3 after structural relaxation.

```
12
Lattice="4.4603 0.0000 0.0000 0.0000 9.0152 0.2538 -2.2302 -2.6727 9.4420" Properties=species:S:1:pos:R:3 pbc="T T T"
La 0.0000 6.6285 6.4682
La 2.2302 4.5294 3.1815
La 2.2302 -0.2860 3.2276
La 2.2302 -0.3264 9.4188
La 0.0000 6.6689 0.2770
La 0.0000 1.8131 6.5143
Sb 2.2302 0.0000 0.0000
Te 2.2302 4.2164 6.4443
Te 0.0000 2.1260 3.2516
As 2.2302 4.5076 0.1269
As 2.2302 -0.2717 6.3233
As 0.0000 6.6141 3.3725
```

Calculated values
Calculated total energy (eV/atom): -6.07
Theoretical density (g cm⁻³): 6.2
DOS(E_F) (states/eV/atom): 0.375
Uncorrected formation energy (eV per atom): -1.581